12
Lattice="4.450 0.000 0.000 0.000 8.925 0.340 -2.225 -2.540 9.376" Properties=species:S:1:pos:R:3 comment="PmNd2Pu3Te6 PBE optimized geometry" e_form_raw_ev_per_atom=-1.2691 pbc="T T T"
Te 2.225 -0.133 3.167
Te 2.225 4.408 3.306
Te 0.000 1.977 6.410
Pu 2.225 -0.217 6.297
Nd 2.225 4.237 6.479
Te 2.225 -0.288 9.437
Pm 2.225 0.000 0.000
Te 0.000 6.673 0.279
Pu 0.000 6.603 3.419
Nd 0.000 2.149 3.237
Te 0.000 6.518 6.549
Pu 2.225 4.463 0.170

=====

4
Lattice="-1.599 1.457 -2.012 -1.660 -1.237 2.108 0.685 7.876 5.161" Properties=species:S:1:pos:R:3 comment="MgW2Cl PBE optimized geometry" de_polymorph_mev_per_atom=20.2 e_form_raw_ev_per_atom=0.1648 pbc="T T T"
Cl 0.384 4.412 2.891
W 0.682 7.847 5.142
Mg -1.122 5.948 3.873
W -1.491 1.705 1.093

=====

7
Lattice="-3.148 0.038 4.183 -2.334 -4.361 -1.717 1.832 -5.977 4.709" Properties=species:S:1:pos:R:3 comment="Sc4Al2Hg PBE optimized geometry" de_polymorph_mev_per_atom=486.6 ef_mev_per_atom=247 pbc="T T T"
Sc 0.033 -4.477 3.342
Al -1.857 -7.348 5.222
Hg 0.000 0.000 0.000
Sc -3.683 -5.824 3.834
Sc -1.574 0.019 2.092
Sc -1.167 -2.181 -0.859
Al -1.793 -2.952 1.953

=====

4
Lattice="4.390 0.000 0.000 2.195 3.802 0.000 2.195 1.267 3.585" Properties=species:S:1:pos:R:3 comment="Mg2CoRh PBE optimized geometry" ef_mev_per_atom=-66 pbc="T T T"
Mg 2.195 1.267 0.896
Rh 6.586 3.802 2.689
Co 4.390 2.535 1.792
Mg 0.000 0.000 0.000

=====

13
Lattice="-4.977 -3.768 2.718 5.062 -2.571 -2.986 4.982 -2.598 10.033" Properties=species:S:1:pos:R:3 comment="Tb2Dy4Ho7 PBE optimized geometry" ef_mev_per_atom=142 pbc="T T T"
Ho 0.386 -4.422 8.724
Ho 3.478 -4.982 7.622
Ho 4.682 -4.516 1.040
Ho 1.590 -3.955 2.142
Dy 0.950 -5.103 5.387
Ho -1.555 -5.162 3.035
Dy 7.334 -4.587 3.563
Ho 0.000 0.000 0.000
Tb -1.339 -2.913 0.841
Ho 6.623 -3.775 6.729
Tb 6.407 -6.024 8.923
Dy -2.267 -4.350 6.201
Dy 4.117 -3.835 4.377

=====

12
Lattice="-2.106 3.850 -5.961 -6.838 -1.054 1.181 -1.453 8.556 4.625" Properties=species:S:1:pos:R:3 comment="CsSn2BiBr8 PBE optimized geometry" e_form_raw_ev_per_atom=-0.9057 pbc="T T T"
Bi 0.000 0.000 0.000
Br -6.958 5.405 -0.688
Br -3.655 9.312 2.839
Br -4.648 9.743 -1.047
Cs -0.726 4.278 2.312
Br -6.741 2.041 -2.993
Br -6.602 6.623 3.631
Br -5.749 1.610 0.893
Sn -5.326 7.775 1.155
Br -3.794 4.730 -3.785
Sn -5.071 3.578 -1.310
Br -3.439 5.948 0.533

=====

3
Lattice="3.673 0.000 0.000 0.000 3.673 0.000 -1.837 -1.837 5.767" Properties=species:S:1:pos:R:3 comment="LiNdTl PBE optimized geometry" de_polymorph_mev_per_atom=129.0 ef_mev_per_atom=-159 pbc="T T T"
Li 1.837 1.837 1.667
Tl 0.000 0.000 2.975
Nd 1.837 1.837 5.163

=====

16
Lattice="-5.781 -1.915 4.945 -4.600 -2.262 -6.254 7.213 -3.343 0.916" Properties=species:S:1:pos:R:3 comment="Na4Ce3RhS8 PBE optimized geometry" e_form_raw_ev_per_atom=-1.4306 pbc="T T T"
S 1.018 -2.818 0.099
S 2.591 -5.308 -2.466
Ce 1.306 -2.802 -2.669
S -0.605 -6.367 0.267
Na 3.606 -1.672 0.458
S -2.564 -1.153 -0.661
Na -2.891 -0.957 2.472
S -1.171 -3.965 -2.904
Na 0.000 0.000 0.000
Rh -2.300 -1.131 -3.127
Ce -5.191 -2.088 -0.655
S -1.998 -3.555 2.510
S -5.759 -2.211 2.072
Na 0.716 -2.629 2.930
Ce -1.584 -3.760 -0.197
S -4.186 -4.701 -0.492

=====

4
Lattice="5.531 -0.012 0.000 -2.636 4.863 0.000 0.000 0.000 3.126" Properties=species:S:1:pos:R:3 comment="BaOs2Se PBE optimized geometry" e_form_raw_ev_per_atom=1.4196 pbc="T T T"
Ba -1.318 2.431 1.563
Os 0.000 0.000 0.000
Os 1.448 2.425 0.000
Se 2.766 -0.006 1.563

=====

8
Lattice="3.503 0.000 0.000 0.000 3.503 0.000 0.000 0.000 14.587" Properties=species:S:1:pos:R:3 comment="Mg4TlHg3 PBE optimized geometry" ef_mev_per_atom=-177 pbc="T T T"
Hg 1.752 1.752 3.770
Tl 1.752 1.752 0.000
Mg 0.000 0.000 2.070
Mg 0.000 0.000 5.555
Mg 0.000 0.000 9.031
Hg 1.752 1.752 7.293
Mg 0.000 0.000 12.516
Hg 1.752 1.752 10.817

=====

4
Lattice="-3.770 1.428 1.000 -3.375 -2.260 -0.869 -2.150 -1.788 3.072" Properties=species:S:1:pos:R:3 comment="LiSiIrPt PBE optimized geometry" e_form_raw_ev_per_atom=-0.7089 pbc="T T T"
Si -6.971 -1.965 2.402
Pt 0.000 0.000 0.000
Li -2.324 -0.655 0.801
Ir -4.648 -1.310 1.601

=====

4
Lattice="-8.153 0.205 -1.490 -7.896 2.377 0.865 -7.318 3.231 -2.179" Properties=species:S:1:pos:R:3 comment="AgSe2N PBE optimized geometry" e_form_raw_ev_per_atom=1.0490 pbc="T T T"
Se -2.513 0.625 -0.302
Ag 0.000 0.000 0.000
N -11.683 2.907 -1.402
Se -20.853 5.188 -2.503

=====

14
Lattice="-3.111 -3.475 -1.278 0.598 -6.303 6.531 -6.633 0.287 6.217" Properties=species:S:1:pos:R:3 comment="Ac3Hg3Au8 PBE optimized geometry" ef_mev_per_atom=-562 pbc="T T T"
Ac -3.713 -3.998 1.607
Ac -4.573 -4.746 5.735
Hg -1.556 -1.737 -0.639
Au -7.610 -5.980 7.334
Hg -5.202 -1.018 6.279
Ac -5.434 -5.493 9.863
Au -6.212 -2.519 3.669
Hg -0.834 -4.998 6.469
Au -5.599 -7.813 7.422
Au -3.547 -1.678 4.048
Au -7.036 -3.235 7.623
Au -2.111 -6.256 3.847
Au -1.537 -3.511 4.135
Au -2.935 -6.972 7.801

=====

4
Lattice="4.610 0.000 0.000 2.305 3.992 0.000 2.305 1.331 3.764" Properties=species:S:1:pos:R:3 comment="ErNbRu2 PBE optimized geometry" de_polymorph_mev_per_atom=36.1 ef_mev_per_atom=-363 pbc="T T T"
Ru 6.914 3.992 2.823
Er 4.610 2.661 1.882
Nb 0.000 0.000 0.000
Ru 2.305 1.331 0.941

=====

13
Lattice="8.231 0.000 0.000 4.115 7.128 0.000 4.115 2.376 6.721" Properties=species:S:1:pos:R:3 comment="TlIn8Hg4 PBE optimized geometry" de_polymorph_mev_per_atom=124.0 ef_mev_per_atom=139 pbc="T T T"
In 4.115 2.376 4.782
In 6.525 5.737 4.057
Hg 10.698 3.328 2.353
Hg 8.231 4.752 6.381
Hg 5.764 3.328 2.353
In 8.231 4.752 1.271
In 1.583 0.914 0.646
In 4.115 5.300 0.646
In 9.937 5.737 4.057
In 8.231 2.782 4.057
Tl 12.346 7.128 5.040
In 6.648 0.914 0.646
Hg 8.231 7.601 2.353

=====

12
Lattice="-3.553 1.393 4.178 -1.128 -7.173 1.433 7.718 0.091 6.532" Properties=species:S:1:pos:R:3 comment="BaLa3Tl2 PBE optimized geometry" de_polymorph_mev_per_atom=0.0 ef_mev_per_atom=-271 pbc="T T T"
Ba 1.850 -2.840 6.352
Tl 3.892 -4.582 8.669
Ba 0.623 -6.435 6.507
La -0.854 -7.161 1.661
La 4.454 -0.721 7.859
La 2.176 -2.088 2.546
Tl -0.847 -1.058 3.464
Tl 4.865 -1.743 4.718
Tl 1.722 -5.360 3.251
La -1.323 -4.369 4.164
La 4.312 -5.642 5.548
La 6.883 -3.490 7.016

=====

4
Lattice="2.984 0.000 0.000 0.000 3.636 0.000 0.000 0.000 7.800" Properties=species:S:1:pos:R:3 comment="SrInRu2 PBE optimized geometry" ef_mev_per_atom=199 pbc="T T T"
Sr 0.000 0.000 3.701
Ru 0.000 0.000 0.326
Ru 1.492 1.818 1.370
In 1.492 1.818 6.302

=====

6
Lattice="3.590 0.000 0.000 0.000 3.590 0.000 0.000 0.000 15.144" Properties=species:S:1:pos:R:3 comment="PrTmTh4 PBE optimized geometry" ef_mev_per_atom=44 pbc="T T T"
Th 1.795 1.795 2.651
Tm 1.795 1.795 7.572
Th 0.000 0.000 5.092
Pr 0.000 0.000 0.000
Th 1.795 1.795 12.493
Th 0.000 0.000 10.053

=====

4
Lattice="-0.160 0.856 3.449 3.169 -1.466 0.511 6.917 6.041 -1.179" Properties=species:S:1:pos:R:3 comment="Ca2ScTc PBE optimized geometry" de_polymorph_mev_per_atom=0.0 ef_mev_per_atom=126 pbc="T T T"
Tc 7.288 3.461 1.313
Ca 2.617 1.922 1.478
Ca 6.663 5.537 -1.066
Sc 5.319 2.839 -0.458

=====

20
Lattice="7.359 0.000 -0.311 0.000 8.270 0.001 0.004 0.001 10.872" Properties=species:S:1:pos:R:3 comment="KTl2FeBr6 PBE optimized geometry" e_form_raw_ev_per_atom=-0.7661 pbc="T T T"
Br 1.125 6.191 10.082
Br 2.561 2.055 6.072
Br 0.765 4.603 2.284
Br 5.732 1.295 4.888
Fe 0.000 4.135 0.000
Tl 0.220 0.548 8.031
Tl 7.144 7.724 2.530
Br 4.803 6.217 4.490
Tl 3.896 3.588 2.442
Br 2.916 0.469 2.998
K 3.680 0.000 -0.155
Br 2.055 2.842 10.478
Br 4.448 7.802 7.564
Tl 3.468 4.684 8.120
Br 1.632 6.976 5.674
K 0.002 4.136 5.436
Br 6.599 3.669 8.278
Br 5.309 5.429 0.083
Br 6.239 2.081 0.480
Fe 3.682 0.001 5.281

=====

Number 1: M_tot 5.81 μB per formula unit, uncorrected energy -91.36 eV per cell, density of states at the Fermi level 2.9527 states/eV per atom. Number 2: M_tot 0.00 μB per formula unit, uncorrected energy -28.69 eV per cell, density of states at the Fermi level 0.4772 states/eV per atom. Number 3: M_tot 0.00 μB per formula unit, uncorrected energy -31.39 eV per cell, density of states at the Fermi level 1.3365 states/eV per atom. Number 4: M_tot 1.84 μB per formula unit, uncorrected energy -17.91 eV per cell, density of states at the Fermi level 1.2102 states/eV per atom. Number 5: M_tot 0.00 μB per formula unit, uncorrected energy -57.86 eV per cell, density of states at the Fermi level 1.3709 states/eV per atom. Number 6: M_tot 0.00 μB per formula unit, uncorrected energy -36.99 eV per cell, density of states at the Fermi level 0.0000 states/eV per atom. Number 7: M_tot 0.28 μB per formula unit, uncorrected energy -9.52 eV per cell, density of states at the Fermi level 1.2526 states/eV per atom. Number 8: M_tot 2.01 μB per formula unit, uncorrected energy -86.34 eV per cell, density of states at the Fermi level 0.9893 states/eV per atom. Number 9: M_tot 0.00 μB per formula unit, uncorrected energy -22.19 eV per cell, density of states at the Fermi level 1.0262 states/eV per atom. Number 10: M_tot 0.00 μB per formula unit, uncorrected energy -11.07 eV per cell, density of states at the Fermi level 0.2943 states/eV per atom. Number 11: M_tot 0.00 μB per formula unit, uncorrected energy -25.07 eV per cell, density of states at the Fermi level 0.2545 states/eV per atom. Number 12: M_tot 0.00 μB per formula unit, uncorrected energy -13.95 eV per cell, density of states at the Fermi level 0.4475 states/eV per atom. Number 13: M_tot 0.00 μB per formula unit, uncorrected energy -47.32 eV per cell, density of states at the Fermi level 0.4776 states/eV per atom. Number 14: M_tot 0.00 μB per formula unit, uncorrected energy -34.64 eV per cell, density of states at the Fermi level 0.3507 states/eV per atom. Number 15: M_tot 0.00 μB per formula unit, uncorrected energy -23.67 eV per cell, density of states at the Fermi level 0.7381 states/eV per atom. Number 16: M_tot 0.00 μB per formula unit, uncorrected energy -46.13 eV per cell, density of states at the Fermi level 1.0359 states/eV per atom. Number 17: M_tot 0.00 μB per formula unit, uncorrected energy -22.18 eV per cell, density of states at the Fermi level 0.7131 states/eV per atom. Number 18: M_tot 0.00 μB per formula unit, uncorrected energy -38.67 eV per cell, density of states at the Fermi level 1.2067 states/eV per atom. Number 19: M_tot 0.00 μB per formula unit, uncorrected energy -20.20 eV per cell, density of states at the Fermi level 0.9816 states/eV per atom. Number 20: M_tot 0.00 μB per formula unit, uncorrected energy -63.98 eV per cell, density of states at the Fermi level 1.0180 states/eV per atom.